Entry 1:
First-principles (PBE) data for a relaxed La3Sm2ErSb6 crystal, as listed in Alexandria via LeMat-Bulk.

Calculated values
- formation energy from raw total energies (eV/atom) = -1.208

Unit cell a=7.852 b=7.852 c=7.838 alpha=99.61 beta=99.61 gamma=120.00
Element x y z (fractional)
Sm 0.666 0.334 0.000
Sm 0.334 0.666 0.000
Sb 0.249 0.249 0.759
Sb 0.079 0.409 0.239
Sb 0.591 0.921 0.761
Sb 0.751 0.751 0.241
Sb 0.921 0.591 0.761
Sb 0.409 0.079 0.239
Er 0.000 0.000 0.000
La 0.168 0.832 0.500
La 0.500 0.500 0.500
La 0.832 0.168 0.500

---

Entry 2:
First-principles (PBE) data for a relaxed KLa3Be crystal, as listed in Alexandria via LeMat-Bulk.

Calculated values
- formation energy (meV/atom) = 1453

Unit cell a=5.541 b=5.541 c=5.541 alpha=90.00 beta=90.00 gamma=90.00
Element x y z (fractional)
La 0.500 0.000 0.000
La 0.000 0.500 0.000
La 0.000 0.000 0.500
Be 0.500 0.500 0.500
K 0.000 0.000 0.000

---

Entry 3:
First-principles (PBE) data for a relaxed SrPmPr2S4 crystal, as listed in Alexandria via LeMat-Bulk.

Calculated values
- formation energy from raw total energies (eV/atom) = -2.027

Unit cell a=4.096 b=7.155 c=7.142 alpha=70.91 beta=90.00 gamma=90.00
Element x y z (fractional)
Pr 0.500 0.000 0.500
Pr 0.000 0.000 0.000
S 0.000 0.751 0.745
S 0.500 0.746 0.255
S 0.500 0.254 0.745
S 0.000 0.249 0.255
Sr 0.500 0.500 0.000
Pm 0.000 0.500 0.500

---

Calculated volume (Å³/atom)
32.87; 34.03; 24.72
Total energy (eV per atom)
-5.6680; -2.4687; -6.0895